The following is a PBE-GGA calculation of a relaxed PuHf2Zr3 crystal, from Alexandria.

E: -0.7290 Ry per atom

Unit cell a=5.539 b=6.402 c=8.430 alpha=112.32 beta=89.74 gamma=90.00
Sites, in units of the cell vectors:
Pu1 0.750 0.129 0.000
Pu2 0.250 0.871 0.000
Hf1 0.581 0.545 0.336
Hf2 0.081 0.791 0.336
Hf3 0.919 0.209 0.664
Hf4 0.419 0.455 0.664
Zr1 0.250 0.382 0.000
Zr2 0.750 0.618 0.000
Zr3 0.087 0.293 0.333
Zr4 0.413 0.960 0.667
Zr5 0.587 0.040 0.333
Zr6 0.913 0.707 0.667


The following is a PBE-GGA calculation of a relaxed K2LiTaSe4 crystal, from Alexandria.

Energy relative to the elements, uncorrected: -24.89 kcal/mol of atoms

Unit cell a=6.870 b=6.747 c=6.747 alpha=74.98 beta=59.39 gamma=59.39
Sites, in units of the cell vectors:
K1 0.000 0.500 0.500
K2 0.500 0.500 0.500
Li1 0.000 0.000 0.000
Ta1 0.500 0.000 0.000
Se1 0.118 0.329 0.000
Se2 0.882 0.000 0.671
Se3 0.553 0.000 0.329
Se4 0.447 0.671 0.000


The following is a PBE-GGA calculation of a relaxed Mn3SiPt crystal, from Alexandria.

Energy relative to the elements, uncorrected: 21.36 kcal/mol of atoms

Unit cell a=4.830 b=4.830 c=4.830 alpha=90.00 beta=90.00 gamma=90.00
Sites, in units of the cell vectors:
Si1 0.500 0.500 0.500
Mn1 0.000 0.500 0.000
Mn2 0.000 0.000 0.500
Mn3 0.500 0.000 0.000
Pt1 0.000 0.000 0.000


The following is a PBE-GGA calculation of a relaxed CaSmEr2 crystal, from Alexandria.

E: -0.2779 Ry per atom

Unit cell a=5.738 b=5.738 c=5.738 alpha=60.00 beta=60.00 gamma=60.00
Sites, in units of the cell vectors:
Ca1 0.500 0.500 0.500
Sm1 0.000 0.000 0.000
Er1 0.250 0.250 0.250
Er2 0.750 0.750 0.750


It is found that the theoretical density values, taken in the order of the records, are 10.504 4.171 5.716 6.525 g cm⁻³.